--- one ---
{
  "formula": "Ac2Cd3In2",
  "functional": "PBE",
  "state": "relaxed",
  "dos_ef_per_ev_fu": 4.69,
  "sg": "Cmmm, No. 65",
  "lattice": [[3.7544, 0.0000, 0.0000], [0.0000, 4.7529, 0.0000], [0.0000, -2.3764, 11.9903]],
  "species": ["Ac", "Ac", "Cd", "Cd", "Cd", "In", "In"],
  "frac_coords": [[0.0000, 0.8511, 0.7022], [0.0000, 0.1489, 0.2978], [0.5000, 0.5632, 0.1264], [0.5000, 0.4368, 0.8736], [0.0000, 0.0000, 0.0000], [0.5000, 0.7154, 0.4308], [0.5000, 0.2846, 0.5692]]
}

---

--- two ---
{
  "formula": "Ac2Cd3In2",
  "functional": "PBE",
  "state": "relaxed",
  "dos_ef_per_ev_fu": 5.09,
  "sg": "C2/m, No. 12",
  "lattice": [[4.9974, 0.0000, 0.0000], [-2.4987, 5.8204, -1.2061], [0.0000, -1.2328, 7.3207]],
  "species": ["Ac", "Ac", "Cd", "Cd", "Cd", "In", "In"],
  "frac_coords": [[0.8495, 0.6990, 0.2349], [0.1505, 0.3010, 0.7651], [0.5000, 0.0000, 0.0000], [0.5944, 0.1888, 0.4229], [0.4056, 0.8112, 0.5771], [0.8482, 0.6964, 0.7500], [0.1518, 0.3036, 0.2500]]
}

---

Most stable structure, least stable structure: two, one.

---

--- one ---
{
  "formula": "Ac3CdIn",
  "functional": "PBE",
  "state": "relaxed",
  "dos_ef_per_ev_fu": 5.89,
  "sg": "Pmmn, No. 59",
  "lattice": [[-1.4839, 2.3347, -4.4224], [1.8384, -6.3988, -3.9951], [-9.1421, -3.4158, 1.2642]],
  "species": ["Ac", "Ac", "Ac", "Ac", "Ac", "Ac", "Cd", "Cd", "In", "In"],
  "frac_coords": [[0.7500, 0.7500, 0.0587], [0.2500, 0.2500, 0.9413], [0.7500, 0.9917, 0.6938], [0.7500, 0.5083, 0.6938], [0.2500, 0.0083, 0.3062], [0.2500, 0.4917, 0.3062], [0.7500, 0.7500, 0.4072], [0.2500, 0.2500, 0.5928], [0.7500, 0.2500, 0.1607], [0.2500, 0.7500, 0.8393]]
}

---

--- two ---
{
  "formula": "Ac3CdIn",
  "functional": "PBE",
  "state": "relaxed",
  "dos_ef_per_ev_fu": 6.61,
  "sg": "Cmcm, No. 63",
  "lattice": [[-5.5833, 0.8674, -1.3765], [-1.6080, -2.2096, 5.1296], [-2.3420, 10.2858, 3.6965]],
  "species": ["Ac", "Ac", "Ac", "Ac", "Ac", "Ac", "Cd", "Cd", "In", "In"],
  "frac_coords": [[0.7628, 0.2500, 0.1228], [0.3897, 0.2500, 0.8689], [0.5758, 0.2500, 0.4968], [0.2586, 0.7500, 0.1311], [0.8856, 0.7500, 0.8772], [0.0726, 0.7500, 0.5032], [0.4780, 0.7500, 0.6922], [0.1703, 0.2500, 0.3078], [0.6695, 0.7500, 0.3095], [0.9789, 0.2500, 0.6905]]
}

---

Most stable structure, least stable structure: two, one.

---

--- one ---
{
  "formula": "AcNdCdIn",
  "functional": "PBE",
  "state": "relaxed",
  "dos_ef_per_ev_fu": 4.85,
  "sg": "P4mm, No. 99",
  "lattice": [[3.9641, 0.0000, 0.0000], [0.0000, 3.9641, 0.0000], [0.0000, 0.0000, 8.0295]],
  "species": ["Ac", "Nd", "Cd", "In"],
  "frac_coords": [[0.5000, 0.5000, 0.1073], [0.5000, 0.5000, 0.6045], [0.0000, 0.0000, 0.3815], [0.0000, 0.0000, 0.8347]]
}

---

--- two ---
{
  "formula": "AcNdCdIn",
  "functional": "PBE",
  "state": "relaxed",
  "dos_ef_per_ev_fu": 5.39,
  "sg": "F-43m, No. 216",
  "lattice": [[-2.2417, -0.1434, -5.1785], [-5.5021, -1.0712, -0.6650], [-3.4919, 4.1051, -1.6786]],
  "species": ["Ac", "Cd", "Nd", "In"],
  "frac_coords": [[0.5000, 0.5000, 0.5000], [0.7500, 0.7500, 0.7500], [0.0000, 0.0000, 0.0000], [0.2500, 0.2500, 0.2500]]
}

---

Most stable structure, least stable structure: one, two.

---

--- one ---
{
  "formula": "AcPmCdIn",
  "functional": "PBE",
  "state": "relaxed",
  "dos_ef_per_ev_fu": 4.71,
  "sg": "P4mm, No. 99",
  "lattice": [[3.9548, 0.0000, 0.0000], [0.0000, 3.9548, 0.0000], [0.0000, 0.0000, 7.9907]],
  "species": ["Ac", "Pm", "Cd", "In"],
  "frac_coords": [[0.5000, 0.5000, 0.1070], [0.5000, 0.5000, 0.6042], [0.0000, 0.0000, 0.3849], [0.0000, 0.0000, 0.8319]]
}

---

--- two ---
{
  "formula": "AcPmCdIn",
  "functional": "PBE",
  "state": "relaxed",
  "dos_ef_per_ev_fu": 5.40,
  "sg": "F-43m, No. 216",
  "lattice": [[5.6292, 0.0000, 0.0000], [2.8146, 4.8751, 0.0000], [2.8146, 1.6250, 4.5963]],
  "species": ["Cd", "Ac", "In", "Pm"],
  "frac_coords": [[0.7500, 0.7500, 0.7500], [0.0000, 0.0000, 0.0000], [0.2500, 0.2500, 0.2500], [0.5000, 0.5000, 0.5000]]
}

---

Most stable structure, least stable structure: one, two.